Below is a geometry-optimized MnAlSe2 structure, with properties calculated at the PBE-GGA level.

a = 3.653 Å, b = 6.972 Å, c = 3.618 Å
α = 90.00°, β = 90.00°, γ = 90.00°
Site moments in Bohr magnetons follow the coordinates.
Fractional coordinates of all 4 atoms:
Se: 0.000 0.000 0.000  0.03
Se: 0.500 0.500 0.000  0.08
Mn: 0.000 0.500 0.500  4.14
Al: 0.500 0.000 0.500  -0.01

Calculated values
**Raw total energy**: -20.4 eV per cell
**Crystal system**: orthorhombic

---

Below is a geometry-optimized CsLaMg2 structure, with properties calculated at the PBE-GGA level.

a = 9.501 Å, b = 9.501 Å, c = 7.637 Å
α = 51.54°, β = 51.54°, γ = 90.00°
Fractional coordinates of all 8 atoms:
Cs: 0.250 0.750 0.500
Cs: 0.500 0.500 0.000
Mg: 0.099 0.625 0.250
Mg: 0.651 0.125 0.250
Mg: 0.875 0.901 0.750
Mg: 0.375 0.349 0.750
La: 0.000 0.000 0.000
La: 0.750 0.250 0.500

Calculated values
**Relative energy among the computed polymorphs**: 4.30 kcal/mol of atoms
**Energy relative to the elements**: 557 meV/atom
**Crystal system**: tetragonal

---

Below is a geometry-optimized K2NaAg structure, with properties calculated at the PBE-GGA level.

a = 6.110 Å, b = 6.110 Å, c = 6.110 Å
α = 60.00°, β = 60.00°, γ = 60.00°
Fractional coordinates of all 4 atoms:
K: 0.250 0.250 0.250
K: 0.750 0.750 0.750
Na: 0.000 0.000 0.000
Ag: 0.500 0.500 0.500

Calculated values
**Relative energy among the computed polymorphs**: 1.89 kcal/mol of atoms
**Energy relative to the elements**: 79 meV/atom
**Crystal system**: cubic